# 1
The following is a PBE calculation of crystalline B7C5 at its relaxed geometry, from Alexandria.

abc: 2.632 2.632 15.391
angles: 90.00 90.00 120.00
Positions (direct):
B1 0.000 0.000 0.000
B2 0.000 0.000 0.109
B3 0.333 0.667 0.177
B4 0.333 0.667 0.787
B5 0.667 0.333 0.287
B6 0.667 0.333 0.526
B7 0.667 0.333 0.931
C1 0.000 0.000 0.540
C2 0.000 0.000 0.649
C3 0.333 0.667 0.280
C4 0.333 0.667 0.681
C5 0.667 0.333 0.831

Values from the calculation:
The formation energy from the elements is 0.396 eV per atom. As for the space group: P3m1, No. 156. Its energy above the most stable polymorph in this dataset is 231 meV/atom. As for the density of states at the Fermi level: 0.2139 states/eV per atom.

# 2
The following is a PBE calculation of crystalline B3C2 at its relaxed geometry, from Alexandria.

abc: 4.764 4.764 6.904
angles: 116.27 116.27 31.17
Positions (direct):
B1 0.000 0.000 0.000
B2 0.034 0.034 0.652
B3 0.205 0.205 0.515
B4 0.390 0.390 0.512
B5 0.578 0.578 0.307
B6 0.789 0.789 0.132
C1 0.223 0.223 0.769
C2 0.395 0.395 0.288
C3 0.599 0.599 0.089
C4 0.803 0.803 0.889

Values from the calculation:
The formation energy from the elements is 0.429 eV per atom. As for the space group: Cm, No. 8. Its energy above the most stable polymorph in this dataset is 218 meV/atom. As for the density of states at the Fermi level: 0.3642 states/eV per atom.

# 3
The following is a PBE calculation of crystalline BC at its relaxed geometry, from Alexandria.

abc: 2.555 2.555 8.364
angles: 90.00 90.00 90.00
Positions (direct):
B1 0.000 0.000 0.224
B2 0.000 0.000 0.776
B3 0.000 0.500 0.608
B4 0.500 0.000 0.392
C1 0.000 0.500 0.106
C2 0.500 0.000 0.894
C3 0.500 0.500 0.000
C4 0.500 0.500 0.500

Values from the calculation:
The formation energy from the elements is 0.400 eV per atom. As for the space group: P-4m2, No. 115. Its energy above the most stable polymorph in this dataset is 249 meV/atom. As for the density of states at the Fermi level: 0.1430 states/eV per atom.

# 4
The following is a PBE calculation of crystalline B7C5 at its relaxed geometry, from Alexandria.

abc: 4.757 4.757 7.648
angles: 110.30 110.30 32.43
Positions (direct):
B1 0.000 0.000 0.000
B2 0.002 0.002 0.544
B3 0.191 0.191 0.490
B4 0.320 0.320 0.167
B5 0.515 0.515 0.184
B6 0.716 0.716 0.910
B7 0.826 0.826 0.347
C1 0.173 0.173 0.986
C2 0.339 0.339 0.699
C3 0.461 0.461 0.608
C4 0.658 0.658 0.368
C5 0.843 0.843 0.812

Values from the calculation:
The formation energy from the elements is 0.423 eV per atom. As for the space group: Cm, No. 8. Its energy above the most stable polymorph in this dataset is 259 meV/atom. As for the density of states at the Fermi level: 0.1143 states/eV per atom.

Q: Which formula does entry 1 have?
A: B7C5